Entry 1:
A plane-wave DFT calculation with PBE was carried out for a geometry-optimized YCd2Pd6 structure.

Output
Energy ... -4.76 eV per atom

Cell and atoms, written as CIF:
```
data_YCd2Pd6
_chemical_formula_sum 'Y2 Cd4 Pd12'
_symmetry_space_group_name_H-M 'C 1 2/m 1'
_symmetry_Int_Tables_number 12
_symmetry_space_group_name_Hall '-C 2y'
_cell_length_a 10.0059
_cell_length_b 7.9052
_cell_length_c 4.6930
_cell_angle_alpha 90.00
_cell_angle_beta 117.51
_cell_angle_gamma 90.00
loop_
_atom_site_label
_atom_site_fract_x
_atom_site_fract_y
_atom_site_fract_z
_atom_site_occupancy
Y1 0.0000 0.0000 0.0000 1
Cd1 0.1587 0.5000 0.6596 1
Pd1 0.0000 0.1984 0.5000 1
Pd2 0.1753 0.3085 0.1757 1
```

Entry 2:
A plane-wave DFT calculation with PBE was carried out for a geometry-optimized HgMoPBr2 structure.

Output
Energy relative to the elements, uncorrected ... 0.616 eV per atom

Cell and atoms, written as CIF:
```
data_HgMoPBr2
_chemical_formula_sum 'Hg1 Mo1 P1 Br2'
_symmetry_space_group_name_H-M 'P 4/m m m'
_symmetry_Int_Tables_number 123
_symmetry_space_group_name_Hall '-P 4 2'
_cell_length_a 5.3083
_cell_length_b 5.3083
_cell_length_c 4.9919
_cell_angle_alpha 90.00
_cell_angle_beta 90.00
_cell_angle_gamma 90.00
loop_
_atom_site_label
_atom_site_fract_x
_atom_site_fract_y
_atom_site_fract_z
_atom_site_occupancy
Hg1 0.0000 0.0000 0.0000 1
Mo1 0.5000 0.5000 0.0000 1
P1 0.5000 0.5000 0.5000 1
Br1 0.0000 0.5000 0.5000 1
```

Entry 3:
A plane-wave DFT calculation with PBE was carried out for a geometry-optimized TbSmHo6 structure.

Output
E above lowest polymorph ... 0.000 eV per formula unit

Cell and atoms, written as CIF:
```
data_TbSmHo6
_chemical_formula_sum 'Tb2 Sm2 Ho12'
_symmetry_space_group_name_H-M 'C 1 2/m 1'
_symmetry_Int_Tables_number 12
_symmetry_space_group_name_Hall '-C 2y'
_cell_length_a 10.0146
_cell_length_b 6.7478
_cell_length_c 8.5001
_cell_angle_alpha 90.00
_cell_angle_beta 104.66
_cell_angle_gamma 90.00
loop_
_atom_site_label
_atom_site_fract_x
_atom_site_fract_y
_atom_site_fract_z
_atom_site_occupancy
Tb1 0.0000 0.0000 0.0000 1
Sm1 0.0000 0.0000 0.5000 1
Ho1 0.1269 0.5000 0.4253 1
Ho2 0.1969 0.2597 0.8003 1
```

Entry 4:
A plane-wave DFT calculation with PBE was carried out for a geometry-optimized MoPbCl2 structure.

Output
Energy relative to the elements, uncorrected ... -0.215 eV per atom
E above lowest polymorph ... 0.000 eV per formula unit

Cell and atoms, written as CIF:
```
data_MoPbCl2
_chemical_formula_sum 'Mo3 Pb3 Cl6'
_symmetry_space_group_name_H-M 'R -3 m'
_symmetry_Int_Tables_number 166
_symmetry_space_group_name_Hall '-R 3 2"'
_cell_length_a 3.2211
_cell_length_b 3.2211
_cell_length_c 35.0744
_cell_angle_alpha 90.00
_cell_angle_beta 90.00
_cell_angle_gamma 120.00
loop_
_atom_site_label
_atom_site_fract_x
_atom_site_fract_y
_atom_site_fract_z
_atom_site_occupancy
Mo1 0.0000 0.0000 0.0000 1
Pb1 0.0000 0.0000 0.5000 1
Cl1 0.0000 0.0000 0.3811 1
```

Entry 5:
A plane-wave DFT calculation with PBE was carried out for a geometry-optimized Ba2SrRu structure.

Output
E above lowest polymorph ... 0.164 eV per formula unit

Cell and atoms, written as CIF:
```
data_Ba2SrRu
_chemical_formula_sum 'Ba4 Sr2 Ru2'
_symmetry_space_group_name_H-M 'I m m m'
_symmetry_Int_Tables_number 71
_symmetry_space_group_name_Hall '-I 2 2'
_cell_length_a 3.7580
_cell_length_b 5.5543
_cell_length_c 16.2639
_cell_angle_alpha 90.00
_cell_angle_beta 90.00
_cell_angle_gamma 90.00
loop_
_atom_site_label
_atom_site_fract_x
_atom_site_fract_y
_atom_site_fract_z
_atom_site_occupancy
Ba1 0.0000 0.0000 0.1526 1
Sr1 0.0000 0.5000 0.0000 1
Ru1 0.0000 0.5000 0.5000 1
```

Entry 6:
A plane-wave DFT calculation with PBE was carried out for a geometry-optimized AcTl4Au2 structure.

Output
Energy ... -3.12 eV per atom

Cell and atoms, written as CIF:
```
data_AcTl4Au2
_chemical_formula_sum 'Ac2 Tl8 Au4'
_symmetry_space_group_name_H-M 'C m m m'
_symmetry_Int_Tables_number 65
_symmetry_space_group_name_Hall '-C 2 2'
_cell_length_a 4.7031
_cell_length_b 18.4778
_cell_length_c 4.5572
_cell_angle_alpha 90.00
_cell_angle_beta 90.00
_cell_angle_gamma 90.00
loop_
_atom_site_label
_atom_site_fract_x
_atom_site_fract_y
_atom_site_fract_z
_atom_site_occupancy
Ac1 0.0000 0.0000 0.0000 1
Tl1 0.0000 0.1766 0.5000 1
Tl2 0.0000 0.3169 0.0000 1
Au1 0.0000 0.4269 0.5000 1
```

Entry 7:
A plane-wave DFT calculation with PBE was carried out for a geometry-optimized Sm3Ga4Au4 structure.

Output
E above lowest polymorph ... 0.000 eV per formula unit

Cell and atoms, written as CIF:
```
data_Sm3Ga4Au4
_chemical_formula_sum 'Sm3 Ga4 Au4'
_symmetry_space_group_name_H-M 'P -1'
_symmetry_Int_Tables_number 2
_symmetry_space_group_name_Hall '-P 1'
_cell_length_a 3.8012
_cell_length_b 4.4606
_cell_length_c 14.3371
_cell_angle_alpha 98.85
_cell_angle_beta 97.60
_cell_angle_gamma 90.02
loop_
_atom_site_label
_atom_site_fract_x
_atom_site_fract_y
_atom_site_fract_z
_atom_site_occupancy
Sm1 0.0000 0.0000 0.0000 1
Sm2 0.1443 0.6444 0.2876 1
Ga1 0.2567 0.2562 0.5120 1
Ga2 0.4045 0.9036 0.8090 1
Au1 0.3115 0.8119 0.6244 1
Au2 0.4491 0.4493 0.9008 1
```

Entry 8:
A plane-wave DFT calculation with PBE was carried out for a geometry-optimized Y4ErAl2 structure.

Output
E above lowest polymorph ... 0.000 eV per formula unit

Cell and atoms, written as CIF:
```
data_Y4ErAl2
_chemical_formula_sum 'Y12 Er3 Al6'
_symmetry_space_group_name_H-M 'R -3 m'
_symmetry_Int_Tables_number 166
_symmetry_space_group_name_Hall '-R 3 2"'
_cell_length_a 5.2744
_cell_length_b 5.2744
_cell_length_c 23.4584
_cell_angle_alpha 90.00
_cell_angle_beta 90.00
_cell_angle_gamma 120.00
loop_
_atom_site_label
_atom_site_fract_x
_atom_site_fract_y
_atom_site_fract_z
_atom_site_occupancy
Y1 0.0000 0.0000 0.0845 1
Y2 0.0000 0.0000 0.3480 1
Er1 0.0000 0.0000 0.5000 1
Al1 0.0000 0.0000 0.2190 1
```